[1]
A plane-wave DFT calculation with PBE was carried out for a geometry-optimized Ca2TbThS4 structure.

As for the crystal system: monoclinic. The calculation puts the uncorrected formation energy at -1.967 eV per atom.

a = 6.8656 Å, b = 3.9472 Å, c = 7.0681 Å
α = 90.00°, β = 108.68°, γ = 90.00°
Atoms (fractional coordinates):
Ca  0.0000  0.0000  0.0000
Ca  0.5000  0.5000  0.0000
Tb  0.0000  0.5000  0.5000
Th  0.5000  0.0000  0.5000
S  0.2434  0.5000  0.2441
S  0.2454  0.0000  0.7496
S  0.7546  0.0000  0.2504
S  0.7566  0.5000  0.7559

[2]
A plane-wave DFT calculation with PBE was carried out for a geometry-optimized CaTb2Tl3S6 structure.

As for the crystal system: monoclinic. The calculation puts the uncorrected formation energy at -1.343 eV per atom.

a = 7.0907 Å, b = 7.0907 Å, c = 7.6070 Å
α = 98.90°, β = 98.90°, γ = 120.00°
Atoms (fractional coordinates):
Ca  0.0000  0.0000  0.0000
Tb  0.3329  0.6671  0.0000
Tb  0.6671  0.3329  0.0000
Tl  0.1649  0.8351  0.5000
Tl  0.5000  0.5000  0.5000
Tl  0.8351  0.1649  0.5000
S  0.0692  0.4128  0.2077
S  0.2753  0.2753  0.7954
S  0.4128  0.0692  0.2077
S  0.5872  0.9308  0.7923
S  0.7247  0.7247  0.2046
S  0.9308  0.5872  0.7923

[3]
A plane-wave DFT calculation with PBE was carried out for a geometry-optimized CaTbTm2S4 structure.

As for the crystal system: monoclinic. The calculation puts the uncorrected formation energy at -1.996 eV per atom.

a = 6.7598 Å, b = 3.8854 Å, c = 6.7676 Å
α = 90.00°, β = 109.16°, γ = 90.00°
Atoms (fractional coordinates):
Ca  0.0000  0.0000  0.0000
Tb  0.0000  0.5000  0.5000
Tm  0.5000  0.0000  0.5000
Tm  0.5000  0.5000  0.0000
S  0.2577  0.0000  0.7531
S  0.2587  0.5000  0.2532
S  0.7413  0.5000  0.7468
S  0.7423  0.0000  0.2469

[4]
A plane-wave DFT calculation with PBE was carried out for a geometry-optimized CaTbTm4S8 structure.

As for the crystal system: trigonal. The calculation puts the uncorrected formation energy at -1.994 eV per atom.

a = 8.0303 Å, b = 8.0303 Å, c = 8.0303 Å
α = 59.75°, β = 59.75°, γ = 59.75°
Atoms (fractional coordinates):
Ca  0.0000  0.0000  0.0000
Tb  0.3724  0.3724  0.3724
Tm  0.3725  0.3725  0.8803
Tm  0.3725  0.8803  0.3725
Tm  0.7492  0.7492  0.7492
Tm  0.8803  0.3725  0.3725
S  0.1324  0.1324  0.5924
S  0.1324  0.5924  0.1324
S  0.1358  0.1358  0.1358
S  0.1462  0.6196  0.6196
S  0.5924  0.1324  0.1324
S  0.6164  0.6164  0.6164
S  0.6196  0.1462  0.6196
S  0.6196  0.6196  0.1462

[5]
A plane-wave DFT calculation with PBE was carried out for a geometry-optimized Ca3Tb3TmS8 structure.

As for the crystal system: trigonal. The calculation puts the uncorrected formation energy at -2.097 eV per atom.

a = 7.9824 Å, b = 7.9824 Å, c = 7.9824 Å
α = 59.22°, β = 59.22°, γ = 59.22°
Atoms (fractional coordinates):
Ca  0.0000  0.5000  0.5000
Ca  0.5000  0.0000  0.5000
Ca  0.5000  0.5000  0.0000
Tb  0.0000  0.0000  0.5000
Tb  0.0000  0.5000  0.0000
Tb  0.5000  0.0000  0.0000
Tm  0.5000  0.5000  0.5000
S  0.2486  0.2486  0.2486
S  0.2522  0.7424  0.7424
S  0.2576  0.2576  0.7478
S  0.2576  0.7478  0.2576
S  0.7424  0.2522  0.7424
S  0.7424  0.7424  0.2522
S  0.7478  0.2576  0.2576
S  0.7514  0.7514  0.7514

[6]
A plane-wave DFT calculation with PBE was carried out for a geometry-optimized Ca2TbUS6 structure.

As for the crystal system: trigonal. The calculation puts the uncorrected formation energy at -1.786 eV per atom.

a = 7.3573 Å, b = 7.3573 Å, c = 7.3573 Å
α = 56.65°, β = 56.65°, γ = 56.65°
Atoms (fractional coordinates):
Ca  0.0000  0.0000  0.0000
Ca  0.4950  0.4950  0.4950
Tb  0.2028  0.2028  0.2028
U  0.6980  0.6980  0.6980
S  0.0656  0.4310  0.8220
S  0.3274  0.9123  0.5852
S  0.4310  0.8220  0.0656
S  0.5852  0.3274  0.9123
S  0.8220  0.0656  0.4310
S  0.9123  0.5852  0.3274

[7]
A plane-wave DFT calculation with PBE was carried out for a geometry-optimized Ca3Tb2YS6 structure.

As for the crystal system: monoclinic. The calculation puts the uncorrected formation energy at -2.061 eV per atom.

a = 6.8366 Å, b = 6.8366 Å, c = 6.9450 Å
α = 99.47°, β = 99.47°, γ = 119.96°
Atoms (fractional coordinates):
Ca  0.0000  0.0000  0.0000
Ca  0.3332  0.6668  0.0000
Ca  0.6668  0.3332  0.0000
Tb  0.1666  0.8334  0.5000
Tb  0.8334  0.1666  0.5000
Y  0.5000  0.5000  0.5000
S  0.0852  0.4180  0.2539
S  0.2493  0.2493  0.7462
S  0.4180  0.0852  0.2539
S  0.5820  0.9148  0.7461
S  0.7507  0.7507  0.2538
S  0.9148  0.5820  0.7461

[8]
A plane-wave DFT calculation with PBE was carried out for a geometry-optimized Ca3Tb3YS8 structure.

As for the crystal system: trigonal. The calculation puts the uncorrected formation energy at -2.094 eV per atom.

a = 7.9899 Å, b = 7.9899 Å, c = 7.9899 Å
α = 59.29°, β = 59.29°, γ = 59.29°
Atoms (fractional coordinates):
Ca  0.0000  0.5000  0.5000
Ca  0.5000  0.0000  0.5000
Ca  0.5000  0.5000  0.0000
Tb  0.0000  0.0000  0.5000
Tb  0.0000  0.5000  0.0000
Tb  0.5000  0.0000  0.0000
Y  0.5000  0.5000  0.5000
S  0.2485  0.2485  0.2485
S  0.2493  0.7450  0.7450
S  0.2550  0.2550  0.7507
S  0.2550  0.7507  0.2550
S  0.7450  0.2493  0.7450
S  0.7450  0.7450  0.2493
S  0.7507  0.2550  0.2550
S  0.7515  0.7515  0.7515

[9]
A plane-wave DFT calculation with PBE was carried out for a geometry-optimized CaTb4Y3S8 structure.

As for the crystal system: trigonal. The calculation puts the uncorrected formation energy at -2.012 eV per atom.

a = 7.8658 Å, b = 7.8658 Å, c = 7.8658 Å
α = 59.98°, β = 59.98°, γ = 59.98°
Atoms (fractional coordinates):
Ca  0.0000  0.0000  0.0000
Tb  0.0000  0.0000  0.5000
Tb  0.0000  0.5000  0.0000
Tb  0.5000  0.0000  0.0000
Tb  0.5000  0.5000  0.5000
Y  0.0000  0.5000  0.5000
Y  0.5000  0.0000  0.5000
Y  0.5000  0.5000  0.0000
S  0.2503  0.2503  0.2503
S  0.2500  0.2500  0.7494
S  0.2500  0.7494  0.2500
S  0.2506  0.7500  0.7500
S  0.7494  0.2500  0.2500
S  0.7500  0.2506  0.7500
S  0.7500  0.7500  0.2506
S  0.7497  0.7497  0.7497

[10]
A plane-wave DFT calculation with PBE was carried out for a geometry-optimized CaTbY4S8 structure.

As for the crystal system: trigonal. The calculation puts the uncorrected formation energy at -2.008 eV per atom.

a = 8.1087 Å, b = 8.1087 Å, c = 8.1087 Å
α = 59.94°, β = 59.94°, γ = 59.94°
Atoms (fractional coordinates):
Ca  0.0000  0.0000  0.0000
Tb  0.3728  0.3728  0.3728
Y  0.3730  0.3730  0.8805
Y  0.3730  0.8805  0.3730
Y  0.7499  0.7499  0.7499
Y  0.8805  0.3730  0.3730
S  0.1352  0.1352  0.1352
S  0.1347  0.1347  0.5942
S  0.1347  0.5942  0.1347
S  0.1487  0.6172  0.6172
S  0.5942  0.1347  0.1347
S  0.6172  0.1487  0.6172
S  0.6172  0.6172  0.1487
S  0.6169  0.6169  0.6169

[11]
A plane-wave DFT calculation with PBE was carried out for a geometry-optimized Ca3Tb3ZnS8 structure.

As for the crystal system: trigonal. The calculation puts the uncorrected formation energy at -1.859 eV per atom.

a = 7.9591 Å, b = 7.9591 Å, c = 7.9591 Å
α = 59.15°, β = 59.15°, γ = 59.15°
Atoms (fractional coordinates):
Ca  0.0000  0.5000  0.5000
Ca  0.5000  0.0000  0.5000
Ca  0.5000  0.5000  0.0000
Tb  0.0000  0.0000  0.5000
Tb  0.0000  0.5000  0.0000
Tb  0.5000  0.0000  0.0000
Zn  0.5000  0.5000  0.5000
S  0.2482  0.2482  0.2482
S  0.2572  0.7364  0.7364
S  0.2636  0.2636  0.7428
S  0.2636  0.7428  0.2636
S  0.7364  0.2572  0.7364
S  0.7364  0.7364  0.2572
S  0.7428  0.2636  0.2636
S  0.7518  0.7518  0.7518

[12]
A plane-wave DFT calculation with PBE was carried out for a geometry-optimized CaTcS3 structure.

As for the crystal system: cubic. The calculation puts the uncorrected formation energy at 0.740 eV per atom. Its energy above the most stable polymorph in this dataset is 1.3342 eV per atom.

a = 5.1235 Å, b = 5.1235 Å, c = 5.1235 Å
α = 90.00°, β = 90.00°, γ = 90.00°
Atoms (fractional coordinates):
Ca  0.0000  0.0000  0.0000
Tc  0.5000  0.5000  0.5000
S  0.0000  0.0000  0.5000
S  0.0000  0.5000  0.0000
S  0.5000  0.0000  0.0000

[13]
A plane-wave DFT calculation with PBE was carried out for a geometry-optimized CaTc2S2 structure.

As for the crystal system: tetragonal. The calculation puts the uncorrected formation energy at -0.644 eV per atom. Its energy above the most stable polymorph in this dataset is 0.0000 eV per atom.

a = 4.0622 Å, b = 4.0622 Å, c = 10.9590 Å
α = 90.00°, β = 90.00°, γ = 90.00°
Atoms (fractional coordinates):
Ca  0.0000  0.0000  0.0000
Ca  0.5000  0.5000  0.5000
Tc  0.0000  0.5000  0.2500
Tc  0.0000  0.5000  0.7500
Tc  0.5000  0.0000  0.2500
Tc  0.5000  0.0000  0.7500
S  0.0000  0.0000  0.3564
S  0.0000  0.0000  0.6436
S  0.5000  0.5000  0.1436
S  0.5000  0.5000  0.8564

[14]
A plane-wave DFT calculation with PBE was carried out for a geometry-optimized CaTc3S structure.

As for the crystal system: cubic. The calculation puts the uncorrected formation energy at 2.829 eV per atom. Its energy above the most stable polymorph in this dataset is 2.5672 eV per atom.

a = 4.6919 Å, b = 4.6919 Å, c = 4.6919 Å
α = 90.00°, β = 90.00°, γ = 90.00°
Atoms (fractional coordinates):
Ca  0.0000  0.0000  0.0000
Tc  0.0000  0.0000  0.5000
Tc  0.0000  0.5000  0.0000
Tc  0.5000  0.0000  0.0000
S  0.5000  0.5000  0.5000

[15]
A plane-wave DFT calculation with PBE was carried out for a geometry-optimized CaTc3S structure.

As for the crystal system: cubic. The calculation puts the uncorrected formation energy at 0.262 eV per atom. Its energy above the most stable polymorph in this dataset is 0.0000 eV per atom.

a = 4.4677 Å, b = 4.4677 Å, c = 4.4677 Å
α = 90.00°, β = 90.00°, γ = 90.00°
Atoms (fractional coordinates):
Ca  0.0000  0.0000  0.0000
Tc  0.0000  0.5000  0.5000
Tc  0.5000  0.0000  0.5000
Tc  0.5000  0.5000  0.0000
S  0.5000  0.5000  0.5000

[16]
A plane-wave DFT calculation with PBE was carried out for a geometry-optimized CaTcS3 structure.

As for the crystal system: cubic. The calculation puts the uncorrected formation energy at -0.594 eV per atom. Its energy above the most stable polymorph in this dataset is 0.0000 eV per atom.

a = 4.6972 Å, b = 4.6972 Å, c = 4.6972 Å
α = 90.00°, β = 90.00°, γ = 90.00°
Atoms (fractional coordinates):
Ca  0.0000  0.0000  0.0000
Tc  0.5000  0.5000  0.5000
S  0.0000  0.5000  0.5000
S  0.5000  0.0000  0.5000
S  0.5000  0.5000  0.0000

[17]
A plane-wave DFT calculation with PBE was carried out for a geometry-optimized CaTc6S8 structure.

As for the crystal system: trigonal. The calculation puts the uncorrected formation energy at -0.694 eV per atom.

a = 6.4118 Å, b = 6.4118 Å, c = 6.4118 Å
α = 89.72°, β = 89.72°, γ = 89.72°
Atoms (fractional coordinates):
Ca  0.0000  0.0000  0.0000
Tc  0.2198  0.4164  0.5633
Tc  0.4164  0.5633  0.2198
Tc  0.4367  0.7802  0.5836
Tc  0.5633  0.2198  0.4164
Tc  0.5836  0.4367  0.7802
Tc  0.7802  0.5836  0.4367
S  0.1260  0.7490  0.3679
S  0.2427  0.2427  0.2427
S  0.2510  0.6321  0.8740
S  0.3679  0.1260  0.7490
S  0.6321  0.8740  0.2510
S  0.7490  0.3679  0.1260
S  0.7573  0.7573  0.7573
S  0.8740  0.2510  0.6321

[18]
A plane-wave DFT calculation with PBE was carried out for a geometry-optimized CaTc2S2 structure.

As for the crystal system: tetragonal. The calculation puts the uncorrected formation energy at -0.014 eV per atom. Its energy above the most stable polymorph in this dataset is 0.6298 eV per atom.

a = 7.2102 Å, b = 7.2102 Å, c = 3.0283 Å
α = 90.00°, β = 90.00°, γ = 90.00°
Atoms (fractional coordinates):
Ca  0.0000  0.0000  0.0000
Ca  0.5000  0.5000  0.0000
Tc  0.1345  0.3655  0.5000
Tc  0.3655  0.8655  0.5000
Tc  0.6345  0.1345  0.5000
Tc  0.8655  0.6345  0.5000
S  0.1533  0.6533  0.0000
S  0.3467  0.1533  0.0000
S  0.6533  0.8467  0.0000
S  0.8467  0.3467  0.0000

[19]
A plane-wave DFT calculation with PBE was carried out for a geometry-optimized Ca2TcS structure.

As for the crystal system: tetragonal. The calculation puts the uncorrected formation energy at 0.067 eV per atom.

a = 7.6621 Å, b = 7.6621 Å, c = 7.3012 Å
α = 90.00°, β = 90.00°, γ = 90.00°
Atoms (fractional coordinates):
Ca  0.2175  0.2500  0.1250
Ca  0.2500  0.7175  0.3750
Ca  0.2500  0.7825  0.8750
Ca  0.2825  0.2500  0.6250
Ca  0.7175  0.7500  0.6250
Ca  0.7500  0.2175  0.8750
Ca  0.7500  0.2825  0.3750
Ca  0.7825  0.7500  0.1250
Tc  0.0000  0.0000  0.5000
Tc  0.0000  0.5000  0.7500
Tc  0.5000  0.0000  0.2500
Tc  0.5000  0.5000  0.0000
S  0.0000  0.0000  0.0000
S  0.0000  0.5000  0.2500
S  0.5000  0.0000  0.7500
S  0.5000  0.5000  0.5000

[20]
A plane-wave DFT calculation with PBE was carried out for a geometry-optimized CaTc2S structure.

As for the crystal system: tetragonal. The calculation puts the uncorrected formation energy at 0.174 eV per atom.

a = 4.4934 Å, b = 4.4934 Å, c = 17.0278 Å
α = 90.00°, β = 90.00°, γ = 90.00°
Atoms (fractional coordinates):
Ca  0.0000  0.0000  0.0000
Ca  0.0000  0.5000  0.2500
Ca  0.5000  0.0000  0.7500
Ca  0.5000  0.5000  0.5000
Tc  0.0664  0.2500  0.6250
Tc  0.2500  0.5664  0.8750
Tc  0.2500  0.9336  0.3750
Tc  0.4336  0.2500  0.1250
Tc  0.5664  0.7500  0.1250
Tc  0.7500  0.0664  0.3750
Tc  0.7500  0.4336  0.8750
Tc  0.9336  0.7500  0.6250
S  0.0000  0.0000  0.5000
S  0.0000  0.5000  0.7500
S  0.5000  0.0000  0.2500
S  0.5000  0.5000  0.0000

Looking at mass density for the records above, in order, we have 5.49; 6.13; 6.58; 5.16; 4.81; 4.28; 4.50; 4.41; 5.79; 3.58; 4.37; 2.89; 5.51; 5.89; 6.82; 3.75; 5.57; 6.33; 3.26; 5.18 Mg/m³.